Entry 1:
# Pa2VC

An optimized crystal structure of Pa2VC (GGA-PBE, Alexandria via LeMat-Bulk).

Cell lengths 2.9803, 2.9803, 7.6857 Å; angles 90.00, 90.00, 90.00 degrees
Space group P4/mmm (No. 123)
Asymmetric unit:
Pa  0.0000  0.0000  0.1927 x2
V  0.5000  0.5000  0.5000 x1
C  0.5000  0.5000  0.0000 x1

Calculated values
E: -9.05 eV/atom
Formation enthalpy at 0 K: 0.282 eV per atom
Distance to the lowest polymorph of the same formula: 2.1 kJ/mol of atoms

***

Entry 2:
# La2BeAs

An optimized crystal structure of La2BeAs (GGA-PBE, Alexandria via LeMat-Bulk).

Cell lengths 7.3937, 4.2648, 7.8172 Å; angles 90.00, 108.30, 90.00 degrees
Space group C2/m (No. 12)
Asymmetric unit:
La  0.2458  0.0000  0.2382 x4
Be  0.0000  0.0000  0.5000 x2
As  0.0000  0.5000  0.0000 x2

Calculated values
E: -5.01 eV/atom
Formation enthalpy at 0 K: -0.454 eV per atom
Distance to the lowest polymorph of the same formula: 18.6 kJ/mol of atoms

***

Entry 3:
# CaLa2As

An optimized crystal structure of CaLa2As (GGA-PBE, Alexandria via LeMat-Bulk).

Cell lengths 3.8353, 3.8353, 8.7471 Å; angles 90.00, 90.00, 90.00 degrees
Space group P4mm (No. 99)
Asymmetric unit:
Ca  0.0000  0.0000  0.0000 x1
La  0.0000  0.0000  0.6301 x1
La  0.5000  0.5000  0.3290 x1
As  0.5000  0.5000  0.8101 x1

Calculated values
E: -4.65 eV/atom
Formation enthalpy at 0 K: -0.528 eV per atom

***

Entry 4:
# Ca2MgPb

An optimized crystal structure of Ca2MgPb (GGA-PBE, Alexandria via LeMat-Bulk).

Cell lengths 3.8310, 4.4818, 17.9045 Å; angles 90.00, 90.00, 90.00 degrees
Space group Immm (No. 71)
Asymmetric unit:
Ca  0.0000  0.0000  0.1753 x4
Mg  0.0000  0.0000  0.5000 x2
Pb  0.0000  0.0000  0.0000 x2

Calculated values
E: -2.26 eV/atom
Formation enthalpy at 0 K: 0.063 eV per atom

***

> What is the E in the fourth record?

-2.26 eV/atom